(1)
The following is a DFT calculation (GGA-PBE) of an optimized crystal structure of Mn2InSbPd4.

Calculated values
For the calculated volume, the calculation gives 16.65 A^3/atom. For the total magnetic moment, the calculation gives 8.55 μB per formula unit. The formation energy without anion corrections comes out at -0.362 eV/atom.

abc: 7.872 7.872 7.872
angles: 33.61 33.61 33.61
Fractional coordinates of all 8 atoms:
Mn1 0.248 0.248 0.248
Mn2 0.752 0.752 0.752
In1 0.500 0.500 0.500
Sb1 0.000 0.000 0.000
Pd1 0.124 0.124 0.124
Pd2 0.374 0.374 0.374
Pd3 0.626 0.626 0.626
Pd4 0.876 0.876 0.876

(2)
The following is a DFT calculation (GGA-PBE) of an optimized crystal structure of ZrFeRh.

Calculated values
For the calculated volume, the calculation gives 16.16 A^3/atom. For the total magnetic moment, the calculation gives 2.73 μB per formula unit. The energy of formation comes out at -200 meV/atom.

abc: 4.380 4.380 2.918
angles: 90.00 90.00 120.00
Fractional coordinates of all 3 atoms:
Zr1 0.000 0.000 0.000
Fe1 0.333 0.667 0.380
Rh1 0.667 0.333 0.617

(3)
The following is a DFT calculation (GGA-PBE) of an optimized crystal structure of Nd2Sm3Y8.

Calculated values
For the calculated volume, the calculation gives 34.62 A^3/atom. For the total magnetic moment, the calculation gives 0.00 μB per formula unit. The energy above the most stable polymorph in this dataset is 0.0 meV/atom. The energy of formation comes out at 246 meV/atom.

abc: 10.996 10.996 5.675
angles: 90.03 90.03 40.99
Fractional coordinates of all 13 atoms:
Nd1 0.241 0.241 0.499
Nd2 0.759 0.759 0.501
Sm1 0.000 0.000 0.500
Sm2 0.290 0.710 0.000
Sm3 0.710 0.290 0.000
Y1 0.132 0.132 0.000
Y2 0.181 0.604 0.500
Y3 0.333 0.333 0.999
Y4 0.396 0.819 0.500
Y5 0.604 0.181 0.500
Y6 0.667 0.667 0.001
Y7 0.819 0.396 0.500
Y8 0.868 0.868 0.000

(4)
The following is a DFT calculation (GGA-PBE) of an optimized crystal structure of GdMgNi2.

Calculated values
For the calculated volume, the calculation gives 17.31 A^3/atom. For the total magnetic moment, the calculation gives 7.16 μB per formula unit. The energy above the most stable polymorph in this dataset is 0.0 meV/atom. The energy of formation comes out at -242 meV/atom.

abc: 6.518 6.518 6.518
angles: 90.00 90.00 90.00
Fractional coordinates of all 16 atoms:
Gd1 0.000 0.000 0.000
Gd2 0.000 0.500 0.500
Gd3 0.500 0.000 0.500
Gd4 0.500 0.500 0.000
Mg1 0.000 0.000 0.500
Mg2 0.000 0.500 0.000
Mg3 0.500 0.000 0.000
Mg4 0.500 0.500 0.500
Ni1 0.250 0.250 0.250
Ni2 0.250 0.250 0.750
Ni3 0.250 0.750 0.250
Ni4 0.250 0.750 0.750
Ni5 0.750 0.250 0.250
Ni6 0.750 0.250 0.750
Ni7 0.750 0.750 0.250
Ni8 0.750 0.750 0.750

(5)
The following is a DFT calculation (GGA-PBE) of an optimized crystal structure of Nd5ScSn5.

Calculated values
For the calculated volume, the calculation gives 31.57 A^3/atom. For the total magnetic moment, the calculation gives 0.00 μB per formula unit. The energy of formation comes out at -475 meV/atom.

abc: 8.735 8.735 7.247
angles: 105.31 105.31 40.89
Fractional coordinates of all 11 atoms:
Nd1 0.000 0.000 0.000
Nd2 0.317 0.317 0.215
Nd3 0.349 0.349 0.729
Nd4 0.651 0.651 0.271
Nd5 0.683 0.683 0.785
Sc1 0.000 0.000 0.500
Sn1 0.160 0.160 0.848
Sn2 0.162 0.162 0.409
Sn3 0.500 0.500 0.500
Sn4 0.838 0.838 0.591
Sn5 0.840 0.840 0.152

(6)
The following is a DFT calculation (GGA-PBE) of an optimized crystal structure of Tm4Th3Sc2.

Calculated values
For the calculated volume, the calculation gives 29.45 A^3/atom. For the total magnetic moment, the calculation gives 0.00 μB per formula unit. The energy above the most stable polymorph in this dataset is 33.3 meV/atom. The energy of formation comes out at 131 meV/atom.

abc: 9.784 9.784 5.908
angles: 96.54 96.54 71.21
Fractional coordinates of all 18 atoms:
Tm1 0.072 0.816 0.972
Tm2 0.163 0.406 0.126
Tm3 0.184 0.928 0.528
Tm4 0.406 0.163 0.626
Tm5 0.594 0.837 0.374
Tm6 0.816 0.072 0.472
Tm7 0.837 0.594 0.874
Tm8 0.928 0.184 0.028
Th1 0.043 0.298 0.574
Th2 0.298 0.043 0.074
Th3 0.380 0.620 0.250
Th4 0.620 0.380 0.750
Th5 0.702 0.957 0.926
Th6 0.957 0.702 0.426
Sc1 0.266 0.519 0.694
Sc2 0.481 0.734 0.806
Sc3 0.519 0.266 0.194
Sc4 0.734 0.481 0.306

(7)
The following is a DFT calculation (GGA-PBE) of an optimized crystal structure of Sr4Pa3P8.

Calculated values
For the calculated volume, the calculation gives 29.86 A^3/atom. For the total magnetic moment, the calculation gives 0.00 μB per formula unit. The energy of formation comes out at -904 meV/atom.

abc: 8.912 8.912 8.912
angles: 55.47 55.47 55.47
Fractional coordinates of all 15 atoms:
Sr1 0.000 0.000 0.000
Sr2 0.149 0.149 0.149
Sr3 0.500 0.500 0.500
Sr4 0.851 0.851 0.851
Pa1 0.000 0.500 0.500
Pa2 0.500 0.000 0.500
Pa3 0.500 0.500 0.000
P1 0.249 0.249 0.710
P2 0.249 0.710 0.249
P3 0.276 0.276 0.276
P4 0.290 0.751 0.751
P5 0.710 0.249 0.249
P6 0.724 0.724 0.724
P7 0.751 0.290 0.751
P8 0.751 0.751 0.290

(8)
The following is a DFT calculation (GGA-PBE) of an optimized crystal structure of SmDyPt2.

Calculated values
For the calculated volume, the calculation gives 22.01 A^3/atom. For the total magnetic moment, the calculation gives 0.00 μB per formula unit. The energy above the most stable polymorph in this dataset is 79.4 meV/atom. The energy of formation comes out at -1158 meV/atom.

abc: 5.027 5.027 3.484
angles: 90.00 90.00 90.00
Fractional coordinates of all 4 atoms:
Sm1 0.000 0.000 0.000
Dy1 0.500 0.500 0.000
Pt1 0.000 0.500 0.500
Pt2 0.500 0.000 0.500

(9)
The following is a DFT calculation (GGA-PBE) of an optimized crystal structure of CeSm2Ru.

Calculated values
For the calculated volume, the calculation gives 27.97 A^3/atom. For the total magnetic moment, the calculation gives 1.23 μB per formula unit. The energy above the most stable polymorph in this dataset is 471.7 meV/atom. The energy of formation comes out at 201 meV/atom.

abc: 3.469 3.469 32.213
angles: 90.00 90.00 120.00
Fractional coordinates of all 12 atoms:
Ce1 0.000 0.000 0.000
Ce2 0.333 0.667 0.667
Ce3 0.667 0.333 0.333
Sm1 0.000 0.000 0.105
Sm2 0.000 0.000 0.895
Sm3 0.333 0.667 0.562
Sm4 0.333 0.667 0.771
Sm5 0.667 0.333 0.229
Sm6 0.667 0.333 0.438
Ru1 0.000 0.000 0.500
Ru2 0.333 0.667 0.167
Ru3 0.667 0.333 0.833

(10)
The following is a DFT calculation (GGA-PBE) of an optimized crystal structure of RbTlN2O.

Calculated values
For the calculated volume, the calculation gives 19.53 A^3/atom. For the total magnetic moment, the calculation gives 3.97 μB per formula unit. The formation energy without anion corrections comes out at 1.102 eV/atom.

abc: 4.670 4.670 4.477
angles: 90.00 90.00 90.00
Fractional coordinates of all 5 atoms:
Rb1 0.000 0.000 0.000
Tl1 0.500 0.500 0.500
N1 0.000 0.500 0.500
N2 0.500 0.000 0.500
O1 0.500 0.500 0.000

(11)
The following is a DFT calculation (GGA-PBE) of an optimized crystal structure of PaSbPbO5.

Calculated values
For the calculated volume, the calculation gives 18.77 A^3/atom. For the total magnetic moment, the calculation gives 0.00 μB per formula unit. The formation energy without anion corrections comes out at -2.181 eV/atom.

abc: 6.409 6.409 8.198
angles: 105.41 105.41 101.01
Fractional coordinates of all 16 atoms:
Pa1 0.000 0.500 0.000
Pa2 0.500 0.000 0.500
Sb1 0.042 0.958 0.750
Sb2 0.958 0.042 0.250
Pb1 0.455 0.545 0.750
Pb2 0.545 0.455 0.250
O1 0.112 0.746 0.880
O2 0.246 0.328 0.935
O3 0.254 0.888 0.620
O4 0.293 0.707 0.250
O5 0.328 0.246 0.435
O6 0.672 0.754 0.565
O7 0.707 0.293 0.750
O8 0.746 0.112 0.380
O9 0.754 0.672 0.065
O10 0.888 0.254 0.120

(12)
The following is a DFT calculation (GGA-PBE) of an optimized crystal structure of LiPaBr4.

Calculated values
For the calculated volume, the calculation gives 29.37 A^3/atom. For the total magnetic moment, the calculation gives 2.00 μB per formula unit. The energy above the most stable polymorph in this dataset is 156.5 meV/atom. The formation energy without anion corrections comes out at -1.224 eV/atom.

abc: 7.032 7.074 7.084
angles: 90.00 90.00 90.00
Fractional coordinates of all 12 atoms:
Li1 0.000 0.000 0.000
Li2 0.000 0.500 0.500
Pa1 0.000 0.000 0.500
Pa2 0.500 0.000 0.000
Br1 0.190 0.235 0.817
Br2 0.190 0.765 0.183
Br3 0.306 0.233 0.317
Br4 0.306 0.767 0.683
Br5 0.694 0.233 0.683
Br6 0.694 0.767 0.317
Br7 0.810 0.235 0.183
Br8 0.810 0.765 0.817